Record 1
Crystalline ThTaC2 at its relaxed geometry. Source: the Alexandria database, functional GGA-PBE.

Results
D(E_F): 3.5 states/eV per cell
V: 269 Å³/cell
distance to the lowest polymorph of the same formula: 251 meV/atom
formation energy: -0.23 eV/atom
symmetry: Pnma

extended XYZ file:
```
16
Lattice="3.614 0.000 0.000 0.000 5.409 0.000 0.000 0.000 13.754" Properties=species:S:1:pos:R:3 pbc="T T T"
C 0.903 4.074 1.153
Th 0.903 4.124 5.892
C 2.710 4.039 8.031
Ta 0.903 1.179 11.380
Th 0.903 1.420 0.985
C 2.710 0.842 2.574
C 0.903 1.862 9.451
Ta 2.710 1.525 4.503
C 0.903 4.566 11.180
Th 2.710 3.989 12.770
C 0.903 1.370 5.724
Ta 2.710 4.229 2.374
Ta 0.903 3.883 9.251
C 2.710 1.335 12.601
Th 2.710 1.284 7.862
C 2.710 3.546 4.303
```

---

Record 2
Crystalline NiMo2Au at its relaxed geometry. Source: the Alexandria database, functional GGA-PBE.

Results
D(E_F): 4.9 states/eV per cell
V: 60 Å³/cell
distance to the lowest polymorph of the same formula: 35 meV/atom
formation energy: 0.15 eV/atom
symmetry: P4/mmm

extended XYZ file:
```
4
Lattice="-0.602 1.739 -1.995 -0.518 -2.082 -1.663 -7.769 0.035 2.376" Properties=species:S:1:pos:R:3 pbc="T T T"
Ni -2.502 -0.162 -1.235
Mo -3.683 0.016 1.126
Mo -0.202 0.001 0.062
Au -6.387 -0.145 -0.048
```